# Na2BeWO4 PBE with a Hubbard U relaxed
# magnetic moment	0.0054	μB per atom
# VASP energy	-6.065	eV/atom
data_Na2BeWO4
_chemical_formula_sum 'Na4 Be2 W2 O8'
_symmetry_space_group_name_H-M 'I -4'
_symmetry_Int_Tables_number 82
_symmetry_space_group_name_Hall 'I -4'
_cell_length_a 5.659
_cell_length_b 5.659
_cell_length_c 6.228
_cell_angle_alpha 90.00
_cell_angle_beta 90.00
_cell_angle_gamma 90.00
loop_
_atom_site_label
_atom_site_type_symbol
_atom_site_fract_x
_atom_site_fract_y
_atom_site_fract_z
Na1 Na 0.000 0.000 0.000
Na2 Na 0.000 0.500 0.250
Be1 Be 0.000 0.000 0.500
W1 W 0.000 0.500 0.750
O1 O 0.124 0.196 0.668